Record 1
A PBEsol-optimized structure of BiSbPI2. Source: Alexandria via LeMat-Bulk, functional SCAN.

abc: 5.2141 5.2141 5.5173
angles: 90.00 90.00 90.00
With the nearest neighbours (Å) after each atom.
Space group P4/mmm (No. 123)
Asymmetric unit:
Bi 0.0000 0.0000 0.0000 (multiplicity 1)  4 Sb 3.69, 8 I 3.80
Sb 0.5000 0.5000 0.0000 (multiplicity 1)  2 P 2.76
P 0.5000 0.5000 0.5000 (multiplicity 1)  4 I 2.61, 2 Sb 2.76
I 0.0000 0.5000 0.5000 (multiplicity 2)  2 P 2.61

Properties
Calculated total energy (eV/atom): -39.412
Crystal system: tetragonal
Calculated volume (Å³/atom): 30.0


Record 2
A PBEsol-optimized structure of Si2BiPI. Source: Alexandria via LeMat-Bulk, functional SCAN.

abc: 5.4594 5.4594 5.9010
angles: 90.00 90.00 90.00
With the nearest neighbours (Å) after each atom.
Space group P4/mmm (No. 123)
Asymmetric unit:
Si 0.0000 0.5000 0.0000 (multiplicity 2)  2 Bi 2.73
Bi 0.0000 0.0000 0.0000 (multiplicity 1)  4 Si 2.73, 2 I 2.95
P 0.5000 0.5000 0.5000 (multiplicity 1)  4 I 3.86, 8 Si 4.02
I 0.0000 0.0000 0.5000 (multiplicity 1)  2 Bi 2.95

Properties
Calculated total energy (eV/atom): -27.443
Crystal system: tetragonal
Calculated volume (Å³/atom): 35.2


Listing energy relative to the elements, uncorrected for the structures above in their given order: 2.7; 8.5 eV per formula unit.